No. 1
Below is a relaxed Rb3In2SnBr6 crystal, with properties calculated at the PBE level.

```
data_Rb3In2SnBr6
_cell_length_a 8.875
_cell_length_b 8.875
_cell_length_c 7.930
_cell_angle_alpha 100.37
_cell_angle_beta 100.37
_cell_angle_gamma 124.20
_space_group_name_H-M_alt 'P 1'
_space_group_IT_number 1
loop_
_space_group_symop_operation_xyz
'x,y,z'
loop_
_atom_site_label
_atom_site_type_symbol
_atom_site_fract_x
_atom_site_fract_y
_atom_site_fract_z
Rb1 Rb 0.000 0.000 0.000
Rb2 Rb 0.335 0.665 0.000
Rb3 Rb 0.665 0.335 0.000
In1 In 0.172 0.828 0.500
In2 In 0.828 0.172 0.500
Sn1 Sn 0.500 0.500 0.500
Br1 Br 0.089 0.433 0.269
Br2 Br 0.267 0.267 0.722
Br3 Br 0.433 0.089 0.269
Br4 Br 0.567 0.911 0.731
Br5 Br 0.733 0.733 0.278
Br6 Br 0.911 0.567 0.731
```

mass density = 3.8 g/cm3
DOS at the Fermi energy = 1.79 states/eV/f.u.
total DFT energy (no corrections) = -2.924 eV per atom

No. 2
Below is a relaxed Sc6In2Rh crystal, with properties calculated at the PBE level.

```
data_Sc6In2Rh
_cell_length_a 8.136
_cell_length_b 8.136
_cell_length_c 3.557
_cell_angle_alpha 90.00
_cell_angle_beta 90.00
_cell_angle_gamma 120.00
_space_group_name_H-M_alt 'P 1'
_space_group_IT_number 1
loop_
_space_group_symop_operation_xyz
'x,y,z'
loop_
_atom_site_label
_atom_site_type_symbol
_atom_site_fract_x
_atom_site_fract_y
_atom_site_fract_z
Sc1 Sc 0.000 0.385 0.000
Sc2 Sc 0.000 0.753 0.500
Sc3 Sc 0.247 0.247 0.500
Sc4 Sc 0.385 0.000 0.000
Sc5 Sc 0.615 0.615 0.000
Sc6 Sc 0.753 0.000 0.500
In1 In 0.333 0.667 0.500
In2 In 0.667 0.333 0.500
Rh1 Rh 0.000 0.000 0.000
```

mass density = 4.9 g/cm3
DOS at the Fermi energy = 12.23 states/eV/f.u.
ΔE_f = -462 meV per atom
total DFT energy (no corrections) = -6.108 eV per atom
energy relative to the lowest polymorph listed for this composition = 0.000 eV/atom

No. 3
Below is a relaxed ZrBe2Pd crystal, with properties calculated at the PBE level.

```
data_ZrBe2Pd
_cell_length_a 2.960
_cell_length_b 2.960
_cell_length_c 6.217
_cell_angle_alpha 90.00
_cell_angle_beta 90.00
_cell_angle_gamma 90.00
_space_group_name_H-M_alt 'P 1'
_space_group_IT_number 1
loop_
_space_group_symop_operation_xyz
'x,y,z'
loop_
_atom_site_label
_atom_site_type_symbol
_atom_site_fract_x
_atom_site_fract_y
_atom_site_fract_z
Zr1 Zr 0.000 0.000 0.000
Be1 Be 0.500 0.500 0.304
Be2 Be 0.500 0.500 0.696
Pd1 Pd 0.000 0.000 0.500
```

mass density = 6.6 g/cm3
DOS at the Fermi energy = 2.93 states/eV/f.u.
ΔE_f = -304 meV per atom
total DFT energy (no corrections) = -5.602 eV per atom
energy relative to the lowest polymorph listed for this composition = 0.025 eV/atom

No. 4
Below is a relaxed Ho2Zn7Ag crystal, with properties calculated at the PBE level.

```
data_Ho2Zn7Ag
_cell_length_a 4.103
_cell_length_b 4.103
_cell_length_c 10.971
_cell_angle_alpha 90.00
_cell_angle_beta 90.00
_cell_angle_gamma 90.00
_space_group_name_H-M_alt 'P 1'
_space_group_IT_number 1
loop_
_space_group_symop_operation_xyz
'x,y,z'
loop_
_atom_site_label
_atom_site_type_symbol
_atom_site_fract_x
_atom_site_fract_y
_atom_site_fract_z
Ho1 Ho 0.000 0.500 0.241
Ho2 Ho 0.500 0.000 0.759
Zn1 Zn 0.000 0.000 0.000
Zn2 Zn 0.000 0.500 0.646
Zn3 Zn 0.000 0.500 0.866
Zn4 Zn 0.500 0.000 0.134
Zn5 Zn 0.500 0.000 0.354
Zn6 Zn 0.500 0.500 0.000
Zn7 Zn 0.500 0.500 0.500
Ag1 Ag 0.000 0.000 0.500
```

mass density = 8.1 g/cm3
DOS at the Fermi energy = 3.76 states/eV/f.u.
ΔE_f = -270 meV per atom
total DFT energy (no corrections) = -2.362 eV per atom

No. 5
Below is a relaxed Ta3Cr2Ga4 crystal, with properties calculated at the PBE level.

```
data_Ta3Cr2Ga4
_cell_length_a 5.324
_cell_length_b 5.324
_cell_length_c 7.980
_cell_angle_alpha 120.67
_cell_angle_beta 120.67
_cell_angle_gamma 48.11
_space_group_name_H-M_alt 'P 1'
_space_group_IT_number 1
loop_
_space_group_symop_operation_xyz
'x,y,z'
loop_
_atom_site_label
_atom_site_type_symbol
_atom_site_fract_x
_atom_site_fract_y
_atom_site_fract_z
Ta1 Ta 0.000 0.000 0.000
Ta2 Ta 0.330 0.330 0.334
Ta3 Ta 0.670 0.670 0.666
Cr1 Cr 0.359 0.359 0.688
Cr2 Cr 0.641 0.641 0.312
Ga1 Ga 0.053 0.053 0.383
Ga2 Ga 0.314 0.314 0.973
Ga3 Ga 0.686 0.686 0.027
Ga4 Ga 0.947 0.947 0.617
```

mass density = 11.0 g/cm3
DOS at the Fermi energy = 6.24 states/eV/f.u.
ΔE_f = -51 meV per atom
total DFT energy (no corrections) = -7.486 eV per atom

No. 6
Below is a relaxed Os2RuW2 crystal, with properties calculated at the PBE level.

```
data_Os2RuW2
_cell_length_a 7.393
_cell_length_b 7.393
_cell_length_c 2.903
_cell_angle_alpha 90.00
_cell_angle_beta 90.00
_cell_angle_gamma 90.00
_space_group_name_H-M_alt 'P 1'
_space_group_IT_number 1
loop_
_space_group_symop_operation_xyz
'x,y,z'
loop_
_atom_site_label
_atom_site_type_symbol
_atom_site_fract_x
_atom_site_fract_y
_atom_site_fract_z
Os1 Os 0.133 0.367 0.000
Os2 Os 0.367 0.867 0.000
Os3 Os 0.633 0.133 0.000
Os4 Os 0.867 0.633 0.000
Ru1 Ru 0.000 0.000 0.000
Ru2 Ru 0.500 0.500 0.000
W1 W 0.166 0.666 0.500
W2 W 0.334 0.166 0.500
W3 W 0.666 0.834 0.500
W4 W 0.834 0.334 0.500
```

mass density = 17.8 g/cm3
DOS at the Fermi energy = 6.12 states/eV/f.u.
ΔE_f = 313 meV per atom
total DFT energy (no corrections) = -11.216 eV per atom
energy relative to the lowest polymorph listed for this composition = 0.000 eV/atom

No. 7
Below is a relaxed LiCaGa3 crystal, with properties calculated at the PBE level.

```
data_LiCaGa3
_cell_length_a 4.702
_cell_length_b 4.702
_cell_length_c 4.702
_cell_angle_alpha 90.00
_cell_angle_beta 90.00
_cell_angle_gamma 90.00
_space_group_name_H-M_alt 'P 1'
_space_group_IT_number 1
loop_
_space_group_symop_operation_xyz
'x,y,z'
loop_
_atom_site_label
_atom_site_type_symbol
_atom_site_fract_x
_atom_site_fract_y
_atom_site_fract_z
Li1 Li 0.000 0.000 0.000
Ca1 Ca 0.500 0.500 0.500
Ga1 Ga 0.000 0.000 0.500
Ga2 Ga 0.000 0.500 0.000
Ga3 Ga 0.500 0.000 0.000
```

mass density = 4.1 g/cm3
DOS at the Fermi energy = 2.28 states/eV/f.u.
ΔE_f = -111 meV per atom
total DFT energy (no corrections) = -2.710 eV per atom
energy relative to the lowest polymorph listed for this composition = 0.232 eV/atom

No. 8
Below is a relaxed Tb7In2Ru2 crystal, with properties calculated at the PBE level.

```
data_Tb7In2Ru2
_cell_length_a 6.821
_cell_length_b 6.821
_cell_length_c 7.128
_cell_angle_alpha 90.00
_cell_angle_beta 90.00
_cell_angle_gamma 107.51
_space_group_name_H-M_alt 'P 1'
_space_group_IT_number 1
loop_
_space_group_symop_operation_xyz
'x,y,z'
loop_
_atom_site_label
_atom_site_type_symbol
_atom_site_fract_x
_atom_site_fract_y
_atom_site_fract_z
Tb1 Tb 0.000 0.000 0.000
Tb2 Tb 0.000 0.500 0.250
Tb3 Tb 0.000 0.500 0.750
Tb4 Tb 0.500 0.000 0.250
Tb5 Tb 0.500 0.000 0.750
Tb6 Tb 0.500 0.500 0.242
Tb7 Tb 0.500 0.500 0.758
In1 In 0.176 0.176 0.500
In2 In 0.824 0.824 0.500
Ru1 Ru 0.294 0.706 0.000
Ru2 Ru 0.706 0.294 0.000
```

mass density = 8.1 g/cm3
DOS at the Fermi energy = 8.22 states/eV/f.u.
ΔE_f = -259 meV per atom
total DFT energy (no corrections) = -5.390 eV per atom